Here is a relaxed Si2Tc2Te crystal from Alexandria via LeMat-Bulk. Energies are from PBE.

a = 3.5128 Å, b = 3.5128 Å, c = 13.1640 Å
α = 90.00°, β = 90.00°, γ = 90.00°
Last column: nearest neighbours and their distance in Å.
Space group I4/mmm (No. 139)
One atom of each set of equivalent atoms:
Si (0.0000, 0.5000, 0.2500) (multiplicity 4)  4 Tc 2.47, 4 Si 2.48
Tc (0.0000, 0.0000, 0.1179) (multiplicity 4)  4 Si 2.47
Te (0.0000, 0.0000, 0.5000) (multiplicity 2)  8 Tc 2.93

Crystal system ... tetragonal
Energy above the most stable polymorph in this dataset ... 0.00 eV/f.u.

Here is a relaxed SiTcTe2 crystal from Alexandria via LeMat-Bulk. Energies are from PBE.

a = 7.9879 Å, b = 3.5831 Å, c = 7.2733 Å
α = 90.00°, β = 99.28°, γ = 90.00°
Last column: nearest neighbours and their distance in Å.
Space group Cm (No. 8)
One atom of each set of equivalent atoms:
Si (0.0000, 0.0000, 0.0000) (multiplicity 2)  3 Tc 2.38-2.46, 1 Te 2.54
Tc (0.2872, 0.0000, 0.9492) (multiplicity 2)  3 Si 2.38-2.46
Te (0.0578, 0.5000, 0.7145) (multiplicity 2)  2 Si 2.84, 3 Tc 2.91-2.96
Te (0.3069, 0.5000, 0.2451) (multiplicity 2)  1 Si 2.54, 2 Tc 2.79

Crystal system ... monoclinic

Here is a relaxed SiTcTe3 crystal from Alexandria via LeMat-Bulk. Energies are from PBE.

a = 5.2091 Å, b = 5.2091 Å, c = 5.2091 Å
α = 90.00°, β = 90.00°, γ = 90.00°
Last column: nearest neighbours and their distance in Å.
Space group Pm-3m (No. 221)
One atom of each set of equivalent atoms:
Si (0.0000, 0.0000, 0.0000) (multiplicity 1)  12 Te 3.68
Tc (0.5000, 0.5000, 0.5000) (multiplicity 1)  6 Te 2.60
Te (0.0000, 0.5000, 0.5000) (multiplicity 3)  2 Tc 2.60

Crystal system ... cubic
Energy above the most stable polymorph in this dataset ... 0.00 eV/f.u.

Values of uncorrected formation energy, in order: -0.8; -0.1; 4.1, all in eV per formula unit.